1.
# KMn3Re (PBE, optimized geometry)
# Magnetic moment, μB per formula unit: 0.0
# Space-group type: Pm-3m
data_KMn3Re
_cell_length_a 4.116
_cell_length_b 4.116
_cell_length_c 4.116
_cell_angle_alpha 90.00
_cell_angle_beta 90.00
_cell_angle_gamma 90.00
_space_group_name_H-M_alt 'P 1'
_space_group_IT_number 1
_space_group_name_Hall 'P 1'
loop_
_atom_site_label
_atom_site_fract_x
_atom_site_fract_y
_atom_site_fract_z
Re1 0.500 0.500 0.500
K1 0.000 0.000 0.000
Mn1 0.000 0.500 0.000
Mn2 0.000 0.000 0.500
Mn3 0.500 0.000 0.000

2.
# KMn3Re (PBE, optimized geometry)
# Magnetic moment, μB per formula unit: 10.8
# Space-group type: Pm-3m
data_KMn3Re
_cell_length_a 4.910
_cell_length_b 4.910
_cell_length_c 4.910
_cell_angle_alpha 90.00
_cell_angle_beta 90.00
_cell_angle_gamma 90.00
_space_group_name_H-M_alt 'P 1'
_space_group_IT_number 1
_space_group_name_Hall 'P 1'
loop_
_atom_site_label
_atom_site_fract_x
_atom_site_fract_y
_atom_site_fract_z
Re1 0.000 0.000 0.000
K1 0.500 0.500 0.500
Mn1 0.000 0.500 0.000
Mn2 0.000 0.000 0.500
Mn3 0.500 0.000 0.000

In kJ/mol of atoms, relative to the most stable structure: 1 180.2; 2 0.0.

1.
# K2MnRh (PBE, optimized geometry)
# Magnetic moment, μB per formula unit: 4.6
# Space-group type: Cmmm
data_K2MnRh
_cell_length_a 6.037
_cell_length_b 6.037
_cell_length_c 3.371
_cell_angle_alpha 90.00
_cell_angle_beta 90.00
_cell_angle_gamma 124.45
_space_group_name_H-M_alt 'P 1'
_space_group_IT_number 1
_space_group_name_Hall 'P 1'
loop_
_atom_site_label
_atom_site_fract_x
_atom_site_fract_y
_atom_site_fract_z
K1 0.000 0.000 0.000
K2 0.500 0.500 0.000
Mn1 0.500 0.000 0.500
Rh1 0.000 0.500 0.500

2.
# K2MnRh (PBE, optimized geometry)
# Magnetic moment, μB per formula unit: 4.6
# Space-group type: Imm2
data_K2MnRh
_cell_length_a 6.323
_cell_length_b 6.323
_cell_length_c 6.323
_cell_angle_alpha 142.37
_cell_angle_beta 125.41
_cell_angle_gamma 68.20
_space_group_name_H-M_alt 'P 1'
_space_group_IT_number 1
_space_group_name_Hall 'P 1'
loop_
_atom_site_label
_atom_site_fract_x
_atom_site_fract_y
_atom_site_fract_z
K1 0.031 0.031 0.000
K2 0.727 0.227 0.500
Mn1 0.430 0.430 0.000
Rh1 0.313 0.813 0.500

3.
# K2MnRh (PBE, optimized geometry)
# Magnetic moment, μB per formula unit: 4.7
# Space-group type: Cm
data_K2MnRh
_cell_length_a 4.264
_cell_length_b 4.264
_cell_length_c 9.607
_cell_angle_alpha 76.12
_cell_angle_beta 76.12
_cell_angle_gamma 60.09
_space_group_name_H-M_alt 'P 1'
_space_group_IT_number 1
_space_group_name_Hall 'P 1'
loop_
_atom_site_label
_atom_site_fract_x
_atom_site_fract_y
_atom_site_fract_z
K1 0.971 0.971 0.107
K2 0.779 0.779 0.643
Mn1 0.542 0.542 0.375
Rh1 0.208 0.208 0.375

4.
# K2MnRh (PBE, optimized geometry)
# Magnetic moment, μB per formula unit: 4.5
# Space-group type: Pm
data_K2MnRh
_cell_length_a 3.496
_cell_length_b 3.494
_cell_length_c 10.769
_cell_angle_alpha 69.76
_cell_angle_beta 90.00
_cell_angle_gamma 90.00
_space_group_name_H-M_alt 'P 1'
_space_group_IT_number 1
_space_group_name_Hall 'P 1'
loop_
_atom_site_label
_atom_site_fract_x
_atom_site_fract_y
_atom_site_fract_z
K1 0.000 0.069 0.916
K2 0.500 0.186 0.330
Mn1 0.000 0.407 0.594
Rh1 0.500 0.837 0.660

In kJ/mol of atoms, relative to the most stable structure: 1 54.9; 2 16.5; 3 2.2; 4 0.0.

1.
# K2MnRh (PBE, optimized geometry)
# Magnetic moment, μB per formula unit: 5.0
# Space-group type: F-43m
data_K2MnRh
_cell_length_a 5.191
_cell_length_b 5.191
_cell_length_c 5.191
_cell_angle_alpha 119.98
_cell_angle_beta 119.98
_cell_angle_gamma 90.03
_space_group_name_H-M_alt 'P 1'
_space_group_IT_number 1
_space_group_name_Hall 'P 1'
loop_
_atom_site_label
_atom_site_fract_x
_atom_site_fract_y
_atom_site_fract_z
K1 0.000 0.000 0.000
K2 0.250 0.750 0.500
Mn1 0.500 0.500 0.000
Rh1 0.750 0.250 0.500

2.
# K2MnRh (PBE, optimized geometry)
# Magnetic moment, μB per formula unit: 3.6
# Space-group type: P4/mmm
data_K2MnRh
_cell_length_a 3.012
_cell_length_b 3.012
_cell_length_c 11.232
_cell_angle_alpha 90.00
_cell_angle_beta 90.00
_cell_angle_gamma 90.00
_space_group_name_H-M_alt 'P 1'
_space_group_IT_number 1
_space_group_name_Hall 'P 1'
loop_
_atom_site_label
_atom_site_fract_x
_atom_site_fract_y
_atom_site_fract_z
K1 0.000 0.000 0.969
K2 0.000 0.000 0.531
Mn1 0.500 0.500 0.250
Rh1 0.500 0.500 0.750

In kJ/mol of atoms, relative to the most stable structure: 1 0.0; 2 17.1.

1.
# KMn2Rh (PBE, optimized geometry)
# Magnetic moment, μB per formula unit: 9.2
# Space-group type: I-4m2
data_KMn2Rh
_cell_length_a 5.267
_cell_length_b 5.267
_cell_length_c 5.267
_cell_angle_alpha 132.82
_cell_angle_beta 132.82
_cell_angle_gamma 68.94
_space_group_name_H-M_alt 'P 1'
_space_group_IT_number 1
_space_group_name_Hall 'P 1'
loop_
_atom_site_label
_atom_site_fract_x
_atom_site_fract_y
_atom_site_fract_z
K1 0.750 0.250 0.500
Mn1 0.000 0.000 0.000
Mn2 0.250 0.750 0.500
Rh1 0.500 0.500 0.000

2.
# KMn2Rh (PBE, optimized geometry)
# Magnetic moment, μB per formula unit: 0.0
# Space-group type: Fm-3m
data_KMn2Rh
_cell_length_a 4.396
_cell_length_b 4.396
_cell_length_c 4.396
_cell_angle_alpha 60.00
_cell_angle_beta 60.00
_cell_angle_gamma 60.00
_space_group_name_H-M_alt 'P 1'
_space_group_IT_number 1
_space_group_name_Hall 'P 1'
loop_
_atom_site_label
_atom_site_fract_x
_atom_site_fract_y
_atom_site_fract_z
K1 0.000 0.000 0.000
Mn1 0.250 0.250 0.250
Mn2 0.750 0.750 0.750
Rh1 0.500 0.500 0.500

3.
# KMn2Rh (PBE, optimized geometry)
# Magnetic moment, μB per formula unit: 8.8
# Space-group type: I4_1/amd
data_KMn2Rh
_cell_length_a 5.441
_cell_length_b 5.441
_cell_length_c 9.013
_cell_angle_alpha 72.43
_cell_angle_beta 72.43
_cell_angle_gamma 90.00
_space_group_name_H-M_alt 'P 1'
_space_group_IT_number 1
_space_group_name_Hall 'P 1'
loop_
_atom_site_label
_atom_site_fract_x
_atom_site_fract_y
_atom_site_fract_z
K1 0.500 0.500 0.000
K2 0.250 0.750 0.500
Mn1 0.875 0.125 0.250
Mn2 0.875 0.625 0.250
Mn3 0.375 0.125 0.750
Mn4 0.875 0.125 0.750
Rh1 0.000 0.000 0.000
Rh2 0.750 0.250 0.500

In kJ/mol of atoms, relative to the most stable structure: 1 7.7; 2 66.2; 3 0.0.